# 1
Density functional theory data (PBE) for a geometry-optimized Cs2RbSF6 structure.

a = 6.416 Å, b = 6.416 Å, c = 10.854 Å
α = 90.00°, β = 90.00°, γ = 90.00°
Space group I4/mmm (No. 139)
Inequivalent atoms, fractional coordinates:
Cs1 0.000 0.500 0.250 x4
Rb1 0.000 0.000 0.000 x2
S1 0.000 0.000 0.500 x2
F1 0.000 0.000 0.247 x4
F2 0.203 0.203 0.500 x8

raw total energy	-3.95	eV per atom

---

# 2
Density functional theory data (PBE) for a geometry-optimized Ac2Al3Ag5 structure.

a = 11.065 Å, b = 12.939 Å, c = 6.458 Å
α = 90.00°, β = 90.00°, γ = 90.00°
Space group Ibam (No. 72)
Inequivalent atoms, fractional coordinates:
Ac1 0.239 0.130 0.000 x8
Al1 0.000 0.500 0.250 x4
Al2 0.117 0.128 0.500 x8
Ag1 0.000 0.000 0.250 x4
Ag2 0.000 0.260 0.250 x8
Ag3 0.147 0.392 0.000 x8

energy of formation	-0.2856	eV/atom
raw total energy	-3.66	eV per atom

---

# 3
Density functional theory data (PBE) for a geometry-optimized BaY2Be structure.

a = 3.884 Å, b = 4.739 Å, c = 7.096 Å
α = 90.00°, β = 104.90°, γ = 90.00°
Space group P2/m (No. 10)
Inequivalent atoms, fractional coordinates:
Ba1 0.000 0.000 0.000 x1
Y1 0.360 0.500 0.693 x2
Be1 0.000 0.000 0.500 x1

energy of formation	0.4452	eV/atom
raw total energy	-4.20	eV per atom

---

# 4
Density functional theory data (PBE) for a geometry-optimized SrYRuO6 structure.

a = 5.5731 Å, b = 5.5731 Å, c = 10.3962 Å
α = 90.00°, β = 90.00°, γ = 120.00°
Space group P-31c (No. 163)
Inequivalent atoms, fractional coordinates:
Sr1 0.0000 0.0000 0.0000 x2
Y1 0.3333 0.6667 0.2500 x2
Ru1 0.3333 0.6667 0.7500 x2
O1 0.0453 0.3892 0.6452 x12

raw total energy	-7.19	eV per atom

---

# 5
Density functional theory data (PBE) for a geometry-optimized Li2ErZn2Ag2 structure.

a = 7.923 Å, b = 4.545 Å, c = 7.694 Å
α = 90.00°, β = 110.09°, γ = 90.00°
Space group C2/m (No. 12)
Inequivalent atoms, fractional coordinates:
Li1 0.142 0.000 0.426 x4
Er1 0.000 0.000 0.000 x2
Zn1 0.078 0.500 0.739 x4
Ag1 0.239 0.500 0.214 x4

energy of formation	-0.2145	eV/atom
raw total energy	-2.59	eV per atom

---

# 6
Density functional theory data (PBE) for a geometry-optimized K4Pm3CuO8 structure.

a = 12.698 Å, b = 6.820 Å, c = 7.288 Å
α = 90.00°, β = 118.99°, γ = 90.00°
Space group C2/m (No. 12)
Inequivalent atoms, fractional coordinates:
K1 0.000 0.000 0.000 x2
K2 0.000 0.500 0.000 x2
K3 0.250 0.250 0.000 x4
Pm1 0.000 0.000 0.500 x2
Pm2 0.250 0.250 0.500 x4
Cu1 0.000 0.500 0.500 x2
O1 0.028 0.293 0.343 x8
O2 0.214 0.000 0.690 x4
O3 0.218 0.000 0.264 x4

raw total energy	-6.02	eV per atom

---

# 7
Density functional theory data (PBE) for a geometry-optimized SrRhCl2 structure.

a = 3.974 Å, b = 4.472 Å, c = 5.783 Å
α = 90.00°, β = 109.88°, γ = 90.00°
Space group Pm (No. 6)
Inequivalent atoms, fractional coordinates:
Sr1 0.000 0.000 0.000 x1
Rh1 0.366 0.500 0.726 x1
Cl1 0.294 0.000 0.586 x1
Cl2 0.589 0.500 0.181 x1

raw total energy	-4.20	eV per atom

---

# 8
Density functional theory data (PBE) for a geometry-optimized KBaSc structure.

a = 8.908 Å, b = 8.908 Å, c = 8.908 Å
α = 90.00°, β = 90.00°, γ = 90.00°
Space group F-43m (No. 216)
Inequivalent atoms, fractional coordinates:
K1 0.000 0.000 0.000 x4
Ba1 0.000 0.000 0.500 x4
Sc1 0.250 0.250 0.250 x4

energy of formation	0.8817	eV/atom
raw total energy	-2.24	eV per atom

---

# 9
Density functional theory data (PBE) for a geometry-optimized Li2BeTlBr6 structure.

a = 13.586 Å, b = 14.537 Å, c = 8.248 Å
α = 90.00°, β = 119.37°, γ = 90.00°
Space group C2/c (No. 15)
Inequivalent atoms, fractional coordinates:
Li1 0.164 0.089 0.066 x8
Be1 0.000 0.331 0.750 x4
Tl1 0.000 0.379 0.250 x4
Br1 0.090 0.252 0.006 x8
Br2 0.121 0.039 0.332 x8
Br3 0.121 0.424 0.718 x8

raw total energy	-3.01	eV per atom

---

# 10
Density functional theory data (PBE) for a geometry-optimized ZrTi5O3 structure.

a = 9.556 Å, b = 7.032 Å, c = 7.965 Å
α = 90.00°, β = 117.78°, γ = 90.00°
Space group C2/m (No. 12)
Inequivalent atoms, fractional coordinates:
Zr1 0.100 0.000 0.311 x4
Ti1 0.000 0.293 0.000 x4
Ti2 0.071 0.500 0.352 x4
Ti3 0.166 0.210 0.674 x8
Ti4 0.241 0.000 0.026 x4
O1 0.000 0.000 0.000 x2
O2 0.000 0.000 0.500 x2
O3 0.155 0.500 0.664 x4
O4 0.168 0.500 0.165 x4

raw total energy	-8.72	eV per atom

---

# 11
Density functional theory data (PBE) for a geometry-optimized Co2CuSi structure.

a = 3.454 Å, b = 3.454 Å, c = 16.812 Å
α = 90.00°, β = 90.00°, γ = 90.00°
Space group I-42d (No. 122)
Inequivalent atoms, fractional coordinates:
Co1 0.232 0.250 0.125 x8
Cu1 0.000 0.000 0.500 x4
Si1 0.000 0.000 0.000 x4

raw total energy	-5.64	eV per atom

---

# 12
Density functional theory data (PBE) for a geometry-optimized Mg2Si3 structure.

a = 5.250 Å, b = 6.014 Å, c = 6.696 Å
α = 103.50°, β = 98.64°, γ = 113.36°
Space group P-1 (No. 2)
Inequivalent atoms, fractional coordinates:
Mg1 0.158 0.262 0.207 x2
Mg2 0.321 0.165 0.631 x2
Si1 0.136 0.795 0.206 x2
Si2 0.244 0.674 0.573 x2
Si3 0.325 0.587 0.933 x2

raw total energy	-3.78	eV per atom

---

# 13
Density functional theory data (PBE) for a geometry-optimized ZnRhO2F structure.

a = 3.873 Å, b = 3.873 Å, c = 3.991 Å
α = 90.00°, β = 90.00°, γ = 90.00°
Space group P4/mmm (No. 123)
Inequivalent atoms, fractional coordinates:
Zn1 0.000 0.000 0.000 x1
Rh1 0.500 0.500 0.500 x1
O1 0.000 0.500 0.000 x2
F1 0.000 0.000 0.500 x1

raw total energy	-4.31	eV per atom

---

# 14
Density functional theory data (PBE) for a geometry-optimized TbYTmTh2 structure.

a = 6.638 Å, b = 15.613 Å, c = 6.640 Å
α = 90.00°, β = 90.00°, γ = 90.00°
Space group Cmcm (No. 63)
Inequivalent atoms, fractional coordinates:
Tb1 0.000 0.248 0.250 x4
Y1 0.000 0.153 0.750 x4
Tm1 0.000 0.349 0.750 x4
Th1 0.249 0.500 0.000 x8

energy of formation	0.4191	eV/atom
raw total energy	-5.66	eV per atom

---

# 15
Density functional theory data (PBE) for a geometry-optimized EuZn4Ag structure.

a = 7.631 Å, b = 7.631 Å, c = 7.631 Å
α = 90.00°, β = 90.00°, γ = 90.00°
Space group F-43m (No. 216)
Inequivalent atoms, fractional coordinates:
Eu1 0.000 0.000 0.000 x4
Zn1 0.124 0.124 0.624 x16
Ag1 0.250 0.250 0.250 x4

energy of formation	-0.1671	eV/atom
raw total energy	-3.20	eV per atom

---

# 16
Density functional theory data (PBE) for a geometry-optimized AcY4Ga4 structure.

a = 9.505 Å, b = 9.505 Å, c = 5.893 Å
α = 90.00°, β = 90.00°, γ = 90.00°
Space group P4_2/n (No. 86, origin choice 2)
Inequivalent atoms, fractional coordinates:
Ac1 0.250 0.250 0.250 x2
Y1 0.087 0.650 0.133 x8
Ga1 0.040 0.600 0.634 x8

energy of formation	-0.3752	eV/atom
raw total energy	-5.05	eV per atom

---

# 17
Density functional theory data (PBE) for a geometry-optimized HfCrTc structure.

a = 4.988 Å, b = 8.549 Å, c = 8.954 Å
α = 90.00°, β = 90.00°, γ = 90.00°
Space group Fmmm (No. 69)
Inequivalent atoms, fractional coordinates:
Hf1 0.000 0.165 0.000 x8
Cr1 0.250 0.250 0.250 x8
Tc1 0.000 0.000 0.354 x8

energy of formation	0.1595	eV/atom
raw total energy	-9.82	eV per atom

---

# 18
Density functional theory data (PBE) for a geometry-optimized TcSe2I structure.

a = 5.645 Å, b = 11.629 Å, c = 7.050 Å
α = 90.00°, β = 106.80°, γ = 90.00°
Space group C2/m (No. 12)
Inequivalent atoms, fractional coordinates:
Tc1 0.000 0.205 0.000 x4
Se1 0.249 0.169 0.765 x8
I1 0.241 0.500 0.781 x4

raw total energy	-4.91	eV per atom

---

# 19
Density functional theory data (PBE) for a geometry-optimized CsTeP2S structure.

a = 5.732 Å, b = 5.732 Å, c = 5.219 Å
α = 90.00°, β = 90.00°, γ = 90.00°
Space group P4/mmm (No. 123)
Inequivalent atoms, fractional coordinates:
Cs1 0.000 0.000 0.000 x1
Te1 0.500 0.500 0.500 x1
P1 0.000 0.500 0.000 x2
S1 0.000 0.000 0.500 x1

raw total energy	-1.95	eV per atom

---

# 20
Density functional theory data (PBE) for a geometry-optimized BiSb2OsI structure.

a = 5.843 Å, b = 5.843 Å, c = 5.921 Å
α = 90.00°, β = 90.00°, γ = 90.00°
Space group P4/mmm (No. 123)
Inequivalent atoms, fractional coordinates:
Bi1 0.000 0.000 0.000 x1
Sb1 0.000 0.500 0.000 x2
Os1 0.500 0.500 0.500 x1
I1 0.000 0.000 0.500 x1

raw total energy	-3.03	eV per atom

---

# 21
Density functional theory data (PBE) for a geometry-optimized CaTb12Nd7 structure.

a = 11.425 Å, b = 11.425 Å, c = 11.425 Å
α = 90.00°, β = 90.00°, γ = 90.00°
Space group Im-3m (No. 229)
Inequivalent atoms, fractional coordinates:
Ca1 0.000 0.000 0.000 x2
Tb1 0.000 0.254 0.254 x24
Nd1 0.000 0.000 0.500 x6
Nd2 0.250 0.250 0.250 x8

energy of formation	0.5977	eV/atom
raw total energy	-3.95	eV per atom

---

# 22
Density functional theory data (PBE) for a geometry-optimized HfPdCl2 structure.

a = 6.479 Å, b = 6.479 Å, c = 6.479 Å
α = 90.00°, β = 90.00°, γ = 90.00°
Space group Fm-3m (No. 225)
Inequivalent atoms, fractional coordinates:
Hf1 0.000 0.000 0.000 x4
Pd1 0.000 0.000 0.500 x4
Cl1 0.250 0.250 0.250 x8

raw total energy	-4.96	eV per atom